BaNa2USe4 | the Alexandria database | PBE | relaxed; space-group type = F222 (22); raw total energy = -0.1860 hartree per atom; E_form (uncorrected) = -1338 meV/atom; Fermi-level density of states = 6.18 states/eV/cell
1.0
0.000 4.248 6.808
4.241 0.000 6.808
4.241 4.248 0.000
Ba Na U Se
1 2 1 4
direct
0.000 0.000 0.000
0.250 0.250 0.250
0.500 0.500 0.500
0.750 0.750 0.750
0.248 0.248 0.752
0.548 0.548 0.952
0.752 0.752 0.248
0.952 0.952 0.548